Entry from Alexandria via LeMat-Bulk: Nd2Dy2Ho2Mg after structural relaxation (PBE).

Lattice parameters (Å, degrees): 12.1527 3.6594 11.5925 90.00 118.91 90.00
Last column: nearest neighbours and their distance in Å.
Element x y z (fractional)
Nd (0.0277, 0.0000, 0.2447)  2 Mg 3.25, 3 Dy 3.47-3.61, 3 Ho 3.52-3.53
Nd (0.4723, 0.5000, 0.7553)  2 Mg 3.25, 3 Dy 3.47-3.61, 3 Ho 3.52-3.53
Nd (0.5277, 0.5000, 0.2447)  2 Mg 3.25, 3 Dy 3.47-3.61, 3 Ho 3.52-3.53
Nd (0.9723, 0.0000, 0.7553)  2 Mg 3.25, 3 Dy 3.47-3.61, 3 Ho 3.52-3.53
Dy (0.1804, 0.0000, 0.5869)  4 Nd 3.47-3.87, 2 Ho 3.50, 5 Dy 3.66-3.84
Dy (0.3196, 0.5000, 0.4131)  4 Nd 3.47-3.87, 2 Ho 3.50, 5 Dy 3.66-3.84
Dy (0.6804, 0.5000, 0.5869)  4 Nd 3.47-3.87, 2 Ho 3.50, 5 Dy 3.66-3.84
Dy (0.8196, 0.0000, 0.4131)  4 Nd 3.47-3.87, 2 Ho 3.50, 5 Dy 3.66-3.84
Ho (0.2457, 0.0000, 0.1269)  2 Mg 3.19, 2 Dy 3.50, 2 Ho 3.51, 3 Nd 3.52-3.53
Ho (0.2543, 0.5000, 0.8731)  2 Mg 3.19, 2 Dy 3.50, 2 Ho 3.51, 3 Nd 3.52-3.53
Ho (0.7457, 0.5000, 0.1269)  2 Mg 3.19, 2 Dy 3.50, 2 Ho 3.51, 3 Nd 3.52-3.53
Ho (0.7543, 0.0000, 0.8731)  2 Mg 3.19, 2 Dy 3.50, 2 Ho 3.51, 3 Nd 3.52-3.53
Mg (0.0000, 0.5000, 0.0000)  4 Ho 3.19, 4 Nd 3.25
Mg (0.5000, 0.0000, 0.0000)  4 Ho 3.19, 4 Nd 3.25

VASP energy	-4.125	eV per atom
ΔH_f (0 K)	88	meV per atom
V	32.24	Å³/atom
total magnetic moment	0.00	μB per cell